First-principles (GGA-PBE) data for La6RuPt2 after structural relaxation, as listed in Alexandria.

Properties
Energy of formation from the pure elements ... -656.1 meV/atom
Crystal system ... monoclinic
Total moment ... 0.000 μB per formula unit

POSCAR file:
```
La6RuPt2
1.0
-1.265 0.795 6.805
-2.657 -7.088 0.334
9.569 -3.442 3.088
La Ru Pt
12 2 4
direct
0.161 0.051 0.252
0.171 0.317 0.578
0.179 0.317 0.934
0.321 0.817 0.566
0.329 0.817 0.922
0.339 0.551 0.248
0.839 0.949 0.748
0.829 0.683 0.422
0.821 0.683 0.066
0.679 0.183 0.434
0.671 0.183 0.078
0.661 0.449 0.752
0.500 0.500 0.000
0.000 0.000 0.500
0.052 0.612 0.778
0.448 0.112 0.722
0.552 0.888 0.278
0.948 0.388 0.222
```



First-principles (GGA-PBE) data for LaZr3P after structural relaxation, as listed in Alexandria.

Properties
Energy of formation from the pure elements ... 1434.7 meV/atom
Crystal system ... cubic
Total moment ... 0.000 μB per formula unit
Polymorph energy (0 for the lowest one) ... 1759 meV/atom

POSCAR file:
```
LaZr3P
1.0
-1.479 -1.424 4.673
0.113 -4.891 -1.454
4.884 -0.318 1.449
P Zr La
1 3 1
direct
0.500 0.500 0.500
0.000 0.500 0.000
0.000 0.000 0.500
0.500 0.000 0.000
0.000 0.000 0.000
```



First-principles (GGA-PBE) data for MgScRh2Au after structural relaxation, as listed in Alexandria.

Properties
Energy of formation from the pure elements ... 658.8 meV/atom
Crystal system ... tetragonal
Total moment ... 0.000 μB per formula unit
Polymorph energy (0 for the lowest one) ... 0 meV/atom

POSCAR file:
```
MgScRh2Au
1.0
-2.995 3.701 -1.534
-3.454 -1.593 2.901
1.734 2.924 3.670
Sc Rh Mg Au
1 2 1 1
direct
0.000 0.500 0.000
0.000 0.000 0.500
0.500 0.000 0.000
0.500 0.500 0.500
0.000 0.000 0.000
```



First-principles (GGA-PBE) data for Ba3Mg2 after structural relaxation, as listed in Alexandria.

Properties
Energy of formation from the pure elements ... 73.1 meV/atom
Crystal system ... orthorhombic
Total moment ... 0.002 μB per formula unit
Polymorph energy (0 for the lowest one) ... 115 meV/atom

POSCAR file:
```
Ba3Mg2
1.0
-10.570 4.717 0.763
-6.404 5.831 -5.370
-6.069 -4.400 0.086
Ba Mg
6 4
direct
0.334 0.449 0.729
0.488 0.729 0.449
0.801 0.916 0.762
0.521 0.762 0.916
0.909 0.091 0.091
0.159 0.341 0.341
0.353 0.545 0.186
0.916 0.186 0.545
0.705 0.897 0.334
0.064 0.334 0.897
```



First-principles (GGA-PBE) data for Tm6Cd2Cu after structural relaxation, as listed in Alexandria.

Properties
Energy of formation from the pure elements ... -47.8 meV/atom
Crystal system ... monoclinic
Total moment ... 0.000 μB per formula unit

POSCAR file:
```
Tm6Cd2Cu
1.0
-1.544 5.607 3.214
-0.624 -3.698 6.151
9.802 2.432 2.457
Tm Cd Cu
12 4 2
direct
0.867 0.992 0.249
0.816 0.669 0.537
0.855 0.695 0.960
0.645 0.195 0.540
0.684 0.169 0.963
0.633 0.492 0.251
0.133 0.008 0.751
0.184 0.331 0.463
0.145 0.305 0.040
0.355 0.805 0.460
0.316 0.831 0.037
0.367 0.508 0.749
0.915 0.394 0.744
0.585 0.894 0.756
0.415 0.106 0.244
0.085 0.606 0.256
0.500 0.500 0.000
0.000 0.000 0.500
```



First-principles (GGA-PBE) data for LiHoSn2 after structural relaxation, as listed in Alexandria.

Properties
Energy of formation from the pure elements ... -397.3 meV/atom
Crystal system ... cubic
Total moment ... 0.000 μB per formula unit
Polymorph energy (0 for the lowest one) ... 151 meV/atom

POSCAR file:
```
LiHoSn2
1.0
-0.862 -1.802 4.781
2.497 -4.224 1.666
3.673 0.425 3.631
Li Ho Sn
1 1 2
direct
0.000 0.000 0.000
0.500 0.500 0.500
0.250 0.250 0.250
0.750 0.750 0.750
```



First-principles (GGA-PBE) data for NdHfRh after structural relaxation, as listed in Alexandria.

Properties
Energy of formation from the pure elements ... -425.4 meV/atom
Crystal system ... tetragonal
Total moment ... 0.005 μB per formula unit
Polymorph energy (0 for the lowest one) ... 177 meV/atom

POSCAR file:
```
NdHfRh
1.0
3.402 0.000 0.000
0.000 3.402 0.000
-1.701 -1.701 6.013
Nd Hf Rh
1 1 1
direct
0.011 0.011 0.023
0.294 0.294 0.588
0.695 0.695 0.389
```



First-principles (GGA-PBE) data for FeRh2Se after structural relaxation, as listed in Alexandria.

Properties
Raw formation energy ... 0.12 eV per atom
Crystal system ... tetragonal
Total moment ... 3.369 μB per formula unit

POSCAR file:
```
FeRh2Se
1.0
2.960 0.000 0.000
0.000 2.960 0.000
0.000 0.000 6.571
Fe Rh Se
1 2 1
direct
0.500 0.500 0.744
0.000 0.000 0.981
0.500 0.500 0.269
0.000 0.000 0.505
```



First-principles (GGA-PBE) data for KLaSm2S4 after structural relaxation, as listed in Alexandria.

Properties
Raw formation energy ... -1.94 eV per atom
Crystal system ... monoclinic
Total moment ... 0.000 μB per formula unit

POSCAR file:
```
KLaSm2S4
1.0
-3.015 -2.198 1.643
0.425 -4.702 -5.512
4.664 -5.117 1.714
K La Sm S
1 1 2 4
direct
0.000 0.500 0.500
0.500 0.500 0.000
0.000 0.000 0.000
0.500 0.000 0.500
0.000 0.764 0.750
0.000 0.236 0.250
0.500 0.772 0.234
0.500 0.228 0.766
```